Li5Zn4Ni3, relaxed, DFT PBE; DFT formation energy = 0.01 eV/atom; space group = C2/m (12); calculated total energy = -2.65 eV per atom
1.0
4.4334 0.0000 0.0000
2.2167 5.5923 -2.2377
2.2167 -0.5056 6.9047
Li Ni Zn
5 3 4
Direct
0.7860 0.5457 0.8823
0.3588 0.0671 0.2153
0.2140 0.4543 0.1177
0.6412 0.9329 0.7847
0.5000 0.5000 0.5000
0.4819 0.3123 0.7239
0.0000 0.5000 0.5000
0.5181 0.6877 0.2761
0.1323 0.7726 0.9628
0.8677 0.2274 0.0372
0.1438 0.1113 0.6011
0.8562 0.8887 0.3989